# Sr2NdMg3 | Alexandria via LeMat-Bulk | PBE-GGA | optimized geometry
data_Sr2NdMg3
_space_group_name_H-M_alt 'P 1'
_space_group_IT_number 1
_cell_length_a 4.037
_cell_length_b 4.037
_cell_length_c 12.492
_cell_angle_alpha 90.00
_cell_angle_beta 90.00
_cell_angle_gamma 90.00
loop_
_space_group_symop_operation_xyz
'x,y,z'
loop_
_atom_site_label
_atom_site_type_symbol
_atom_site_fract_x
_atom_site_fract_y
_atom_site_fract_z
_atom_site_occupancy
Sr1 Sr 0.000 0.000 0.176 1
Sr2 Sr 0.000 0.000 0.824 1
Nd1 Nd 0.000 0.000 0.500 1
Mg1 Mg 0.500 0.500 0.000 1
Mg2 Mg 0.500 0.500 0.356 1
Mg3 Mg 0.500 0.500 0.644 1
# **E_form**: -0.065 eV per atom
# **Symmetry**: P4/mmm
# **D(E_F)**: 1.0077 states/eV/atom
# **Total magnetic moment**: 0.0 μB/f.u.